No. 1
An optimized crystal structure of Li3ZnPb. Source: Alexandria via LeMat-Bulk, functional GGA-PBE.

Properties
- DOS at the Fermi energy (states/eV/f.u.) = 4.59
- volume (Å³/f.u.) = 144.0
- SG = Pm-3m (221)
- formation energy from the elements (meV/atom) = 233
- E (eV/atom) = -1.911
- energy above the most stable polymorph in this dataset (eV/atom) = 0.415

extended XYZ file:
```
5
Lattice="5.241 0.000 0.000 0.000 5.241 0.000 0.000 0.000 5.241" Properties=species:S:1:pos:R:3 pbc="T T T"
Li 0.000 0.000 2.621
Li 0.000 2.621 0.000
Li 2.621 0.000 0.000
Zn 2.621 2.621 2.621
Pb 0.000 0.000 0.000
```


No. 2
An optimized crystal structure of SrLa2Tc. Source: Alexandria via LeMat-Bulk, functional GGA-PBE.

Properties
- DOS at the Fermi energy (states/eV/f.u.) = 4.64
- volume (Å³/f.u.) = 138.7
- SG = Imm2 (44)
- formation energy from the elements (meV/atom) = 231
- E (eV/atom) = -5.244
- energy above the most stable polymorph in this dataset (eV/atom) = 0.129

extended XYZ file:
```
4
Lattice="-1.795 2.464 7.840 1.795 -2.464 7.840 1.795 2.464 -7.840" Properties=species:S:1:pos:R:3 pbc="T T T"
Sr 0.000 0.000 0.000
La 0.000 0.000 5.073
La 0.000 2.464 2.665
Tc 1.795 0.000 2.933
```


No. 3
An optimized crystal structure of BiSbI2Br. Source: Alexandria via LeMat-Bulk, functional GGA-PBE.

Properties
- DOS at the Fermi energy (states/eV/f.u.) = 5.13
- volume (Å³/f.u.) = 228.0
- SG = P4/mmm (123)
- E (eV/atom) = -2.268
- formation energy (no corrections) (eV/atom) = 0.29
- energy above the most stable polymorph in this dataset (eV/atom) = 0.000

extended XYZ file:
```
5
Lattice="5.987 0.000 0.000 0.000 5.987 0.000 0.000 0.000 6.361" Properties=species:S:1:pos:R:3 pbc="T T T"
Bi 0.000 0.000 0.000
Sb 0.000 0.000 3.180
I 0.000 2.994 0.000
I 2.994 0.000 0.000
Br 2.994 2.994 3.180
```


No. 4
An optimized crystal structure of HfReRu2. Source: Alexandria via LeMat-Bulk, functional GGA-PBE.

Properties
- DOS at the Fermi energy (states/eV/f.u.) = 6.25
- volume (Å³/f.u.) = 63.5
- SG = Fm-3m (225)
- formation energy from the elements (meV/atom) = -20
- E (eV/atom) = -10.258
- energy above the most stable polymorph in this dataset (eV/atom) = 0.000

extended XYZ file:
```
4
Lattice="0.000 3.166 3.166 3.166 0.000 3.166 3.166 3.166 0.000" Properties=species:S:1:pos:R:3 pbc="T T T"
Hf 0.000 0.000 0.000
Re 3.166 3.166 3.166
Ru 1.583 1.583 1.583
Ru 4.749 4.749 4.749
```